LiZrAu3: relaxed, GGA-PBE.

Unit cell a=7.067 b=7.067 c=5.598 alpha=93.65 beta=93.65 gamma=41.26
Positions (direct):
Li 0.184 0.184 0.485
Li 0.816 0.816 0.515
Zr 0.408 0.408 0.206
Zr 0.592 0.592 0.794
Au 0.008 0.008 0.254
Au 0.196 0.196 0.979
Au 0.370 0.370 0.691
Au 0.630 0.630 0.309
Au 0.804 0.804 0.021
Au 0.992 0.992 0.746

Final energy ... -44.5 eV for the cell shown
Energy above the most stable polymorph in this dataset ... 0.0 kJ/mol of atoms